(1)
A plane-wave DFT calculation with GGA-PBE was carried out for a geometry-optimized SiIBrO2 structure.

The structure in CIF format:
```
data_SiIBrO2
_symmetry_space_group_name_H-M 'P 1'
_symmetry_Int_Tables_number 1
_cell_length_a 3.783
_cell_length_b 3.783
_cell_length_c 6.019
_cell_angle_alpha 90.00
_cell_angle_beta 90.00
_cell_angle_gamma 90.00
loop_
_symmetry_equiv_pos_as_xyz
'x,y,z'
loop_
_atom_site_label
_atom_site_type_symbol
_atom_site_fract_x
_atom_site_fract_y
_atom_site_fract_z
Si1 Si 0.000 0.000 0.000
Br1 Br 0.500 0.500 0.500
I1 I 0.000 0.000 0.500
O1 O 0.500 0.000 0.000
O2 O 0.000 0.500 0.000
```

The total magnetization comes out at 0.0 μB/f.u. The formation energy (no corrections) is -353 meV per atom.

***

(2)
A plane-wave DFT calculation with GGA-PBE was carried out for a geometry-optimized Ga12Ge3Te5 structure.

The structure in CIF format:
```
data_Ga12Ge3Te5
_symmetry_space_group_name_H-M 'P 1'
_symmetry_Int_Tables_number 1
_cell_length_a 14.217
_cell_length_b 14.217
_cell_length_c 14.217
_cell_angle_alpha 109.47
_cell_angle_beta 109.47
_cell_angle_gamma 109.47
loop_
_symmetry_equiv_pos_as_xyz
'x,y,z'
loop_
_atom_site_label
_atom_site_type_symbol
_atom_site_fract_x
_atom_site_fract_y
_atom_site_fract_z
Ge1 Ge 0.125 0.250 0.875
Te1 Te 0.750 0.625 0.375
Ga1 Ga 0.160 0.081 0.924
Ga2 Ga 0.344 0.924 0.765
Ge2 Ge 0.250 0.125 0.375
Ga3 Ga 0.656 0.581 0.921
Te2 Te 0.500 0.500 0.500
Ga4 Ga 0.340 0.576 0.419
Ga5 Ga 0.424 0.660 0.081
Te3 Te 0.375 0.250 0.125
Ga6 Ga 0.079 0.919 0.344
Ga7 Ga 0.919 0.840 0.576
Ga8 Ga 0.924 0.344 0.265
Ge3 Ge 0.250 0.625 0.875
Ga9 Ga 0.076 0.419 0.840
Ga10 Ga 0.844 0.265 0.424
Te4 Te 0.875 0.625 0.750
Ge4 Ge 0.625 0.375 0.750
Te5 Te 0.000 0.000 0.500
Ga11 Ga 0.581 0.924 0.660
Ge5 Ge 0.750 0.875 0.625
Ga12 Ga 0.765 0.340 0.921
Ga13 Ga 0.576 0.340 0.919
Ga14 Ga 0.656 0.076 0.235
Te6 Te 0.000 0.500 0.000
Te7 Te 0.125 0.750 0.375
Ga15 Ga 0.156 0.421 0.081
Ga16 Ga 0.579 0.844 0.419
Ga17 Ga 0.844 0.579 0.919
Ga18 Ga 0.156 0.735 0.576
Te8 Te 0.125 0.375 0.250
Te9 Te 0.500 0.000 0.500
Ga19 Ga 0.921 0.081 0.656
Ga20 Ga 0.081 0.921 0.156
Te10 Te 0.000 0.500 0.500
Ga21 Ga 0.660 0.424 0.581
Ga22 Ga 0.081 0.160 0.424
Ge6 Ge 0.875 0.750 0.125
Ga23 Ga 0.765 0.424 0.344
Ga24 Ga 0.579 0.735 0.660
Ga25 Ga 0.079 0.160 0.235
Ga26 Ga 0.340 0.765 0.421
Te11 Te 0.250 0.875 0.125
Te12 Te 0.875 0.250 0.625
Te13 Te 0.750 0.125 0.875
Ga27 Ga 0.235 0.660 0.079
Ga28 Ga 0.924 0.581 0.160
Ga29 Ga 0.660 0.235 0.579
Te14 Te 0.000 0.000 0.000
Ge7 Ge 0.125 0.875 0.750
Ga30 Ga 0.581 0.656 0.421
Ga31 Ga 0.919 0.079 0.844
Ge8 Ge 0.375 0.625 0.250
Ga32 Ga 0.735 0.156 0.076
Te15 Te 0.375 0.125 0.750
Ga33 Ga 0.840 0.919 0.076
Ga34 Ga 0.419 0.344 0.579
Ga35 Ga 0.419 0.076 0.340
Te16 Te 0.500 0.000 0.000
Ga36 Ga 0.421 0.265 0.340
Ga37 Ga 0.424 0.765 0.844
Te17 Te 0.625 0.875 0.250
Ge9 Ge 0.375 0.750 0.625
Ga38 Ga 0.735 0.579 0.160
Ga39 Ga 0.076 0.656 0.735
Ga40 Ga 0.235 0.576 0.656
Ga41 Ga 0.160 0.079 0.735
Te18 Te 0.625 0.750 0.875
Ga42 Ga 0.265 0.421 0.840
Ga43 Ga 0.344 0.419 0.079
Ge10 Ge 0.750 0.375 0.125
Ga44 Ga 0.421 0.156 0.581
Te19 Te 0.500 0.500 0.000
Ge11 Ge 0.625 0.250 0.375
Te20 Te 0.250 0.375 0.625
Ga45 Ga 0.265 0.844 0.924
Ga46 Ga 0.840 0.921 0.265
Ga47 Ga 0.921 0.840 0.765
Ge12 Ge 0.875 0.125 0.250
Ga48 Ga 0.576 0.235 0.156
```

The total magnetization comes out at 0.0 μB/f.u. The formation energy (no corrections) is 53 meV per atom.

***

(3)
A plane-wave DFT calculation with GGA-PBE was carried out for a geometry-optimized AgHg2Os structure.

The structure in CIF format:
```
data_AgHg2Os
_symmetry_space_group_name_H-M 'P 1'
_symmetry_Int_Tables_number 1
_cell_length_a 2.897
_cell_length_b 2.897
_cell_length_c 9.170
_cell_angle_alpha 90.00
_cell_angle_beta 90.00
_cell_angle_gamma 90.00
loop_
_symmetry_equiv_pos_as_xyz
'x,y,z'
loop_
_atom_site_label
_atom_site_type_symbol
_atom_site_fract_x
_atom_site_fract_y
_atom_site_fract_z
Hg1 Hg 0.000 0.000 0.985
Hg2 Hg 0.500 0.500 0.277
Ag1 Ag 0.500 0.500 0.729
Os1 Os 0.000 0.000 0.509
```

The total magnetization comes out at 1.4 μB/f.u. As for the formation energy: 691 meV/atom.

***

(4)
A plane-wave DFT calculation with GGA-PBE was carried out for a geometry-optimized LiRu2W structure.

The structure in CIF format:
```
data_LiRu2W
_symmetry_space_group_name_H-M 'P 1'
_symmetry_Int_Tables_number 1
_cell_length_a 2.659
_cell_length_b 2.659
_cell_length_c 9.306
_cell_angle_alpha 90.00
_cell_angle_beta 90.00
_cell_angle_gamma 114.91
loop_
_symmetry_equiv_pos_as_xyz
'x,y,z'
loop_
_atom_site_label
_atom_site_type_symbol
_atom_site_fract_x
_atom_site_fract_y
_atom_site_fract_z
Li1 Li 0.500 0.500 0.759
Ru1 Ru 0.500 0.500 0.247
W1 W 0.000 0.000 0.491
Ru2 Ru 0.000 0.000 0.003
```

The total magnetization comes out at 0.1 μB/f.u. As for the formation energy: 397 meV/atom.

***

(5)
A plane-wave DFT calculation with GGA-PBE was carried out for a geometry-optimized K2PuCrS4 structure.

The structure in CIF format:
```
data_K2PuCrS4
_symmetry_space_group_name_H-M 'P 1'
_symmetry_Int_Tables_number 1
_cell_length_a 3.934
_cell_length_b 6.641
_cell_length_c 7.641
_cell_angle_alpha 107.32
_cell_angle_beta 90.00
_cell_angle_gamma 90.00
loop_
_symmetry_equiv_pos_as_xyz
'x,y,z'
loop_
_atom_site_label
_atom_site_type_symbol
_atom_site_fract_x
_atom_site_fract_y
_atom_site_fract_z
Pu1 Pu 0.500 0.500 0.000
S1 S 0.000 0.247 0.803
S2 S 0.500 0.208 0.184
Cr1 Cr 0.000 0.000 0.000
S3 S 0.000 0.753 0.197
S4 S 0.500 0.792 0.816
K1 K 0.500 0.000 0.500
K2 K 0.000 0.500 0.500
```

The total magnetization comes out at 8.0 μB/f.u. The formation energy (no corrections) is -1206 meV per atom.

***

no.,DOS(E_F) (states/eV/atom),uncorrected energy (eV/atom)
1,0.156,-4.06
2,0.395,-3.24
3,0.788,-2.98
4,1.257,-7.96
5,0.952,-6.54